[1]
A plane-wave DFT calculation with PBE was carried out for an optimized crystal structure of CsCd3Rh.

## Properties
Calculated formation energy (eV per atom): 0.260
Size of the total moment (μB per atom): 0.00
Fermi-level density of states (states/eV per atom): 0.501
Uncorrected energy (eV per atom): -1.930
Calculated volume (Å³/atom): 27.26
Distance to the lowest polymorph of the same formula (eV per formula unit): 1.79

Lattice parameters (Å, degrees): 5.2999 5.2999 11.2073 90.00 90.00 120.00
Closest atoms and distances in Å follow each position.
Space group P6_3/mmc (No. 194)
Asymmetric unit:
Cs1 0.3333 0.6667 0.2500 x2  5 Cd 3.06-3.33
Cd1 0.0000 0.0000 0.2500 x2  2 Rh 2.80, 3 Cs 3.06
Cd2 0.3333 0.6667 0.5476 x4  3 Rh 3.11, 3 Cd 3.24, 1 Cs 3.33
Rh1 0.0000 0.0000 0.0000 x2  8 Cd 2.80-3.11

[2]
A plane-wave DFT calculation with PBE was carried out for an optimized crystal structure of Li2TmSn3Te6.

## Properties
Raw formation energy (meV/atom): -656
Size of the total moment (μB per atom): 0.00
Fermi-level density of states (states/eV per atom): 0.362
Uncorrected energy (eV per atom): -3.919
Calculated volume (Å³/atom): 29.99

Lattice parameters (Å, degrees): 7.5563 13.1087 7.6928 90.00 109.15 90.00
Closest atoms and distances in Å follow each position.
Space group C2/m (No. 12)
Asymmetric unit:
Li1 0.0000 0.1725 0.0000 x4  6 Te 3.00-3.12
Tm1 0.0000 0.5000 0.0000 x2  6 Te 3.03-3.05
Sn1 0.0000 0.0000 0.5000 x2  6 Te 3.16
Sn2 0.0000 0.3385 0.5000 x4  6 Te 3.11-3.23
Te1 0.2448 0.3347 0.2353 x8  2 Li 3.00-3.05, 1 Tm 3.03, 3 Sn 3.16-3.23
Te2 0.2473 0.0000 0.2388 x4  1 Tm 3.05, 3 Sn 3.11-3.16, 2 Li 3.12

[3]
A plane-wave DFT calculation with PBE was carried out for an optimized crystal structure of ZrBeGePt2.

## Properties
Calculated formation energy (eV per atom): 0.157
Size of the total moment (μB per atom): 0.00
Fermi-level density of states (states/eV per atom): 1.149
Uncorrected energy (eV per atom): -5.638
Calculated volume (Å³/atom): 18.32

Lattice parameters (Å, degrees): 4.7482 4.7482 4.0621 90.00 90.00 90.00
Closest atoms and distances in Å follow each position.
Space group P4/mmm (No. 123)
Asymmetric unit:
Zr1 0.0000 0.0000 0.0000 x1  8 Pt 3.12, 4 Be 3.36
Be1 0.5000 0.5000 0.0000 x1  2 Ge 2.03
Ge1 0.5000 0.5000 0.5000 x1  2 Be 2.03
Pt1 0.0000 0.5000 0.5000 x2  2 Ge 2.37

[4]
A plane-wave DFT calculation with PBE was carried out for an optimized crystal structure of LiHo8Cd2.

## Properties
Calculated formation energy (eV per atom): -0.047
Size of the total moment (μB per atom): 0.00
Fermi-level density of states (states/eV per atom): 0.915
Uncorrected energy (eV per atom): -3.717
Calculated volume (Å³/atom): 28.23

Lattice parameters (Å, degrees): 17.6487 5.2924 6.9477 90.00 106.88 90.00
Closest atoms and distances in Å follow each position.
Space group C2/m (No. 12)
Asymmetric unit:
Li1 0.0000 0.0000 0.0000 x2  8 Ho 2.94-3.18
Ho1 0.0237 0.5000 0.7708 x4  1 Cd 3.06, 2 Li 3.18
Ho2 0.0942 0.0000 0.4552 x4  1 Li 3.12, 2 Cd 3.35, 3 Ho 3.36-3.45
Ho3 0.1612 0.0000 0.9598 x4  1 Li 2.94, 3 Cd 2.96-3.28
Ho4 0.1905 0.5000 0.2801 x4  1 Cd 3.00
Cd1 0.1886 0.5000 0.7097 x4  5 Ho 2.96-3.28

[5]
A plane-wave DFT calculation with PBE was carried out for an optimized crystal structure of AcIn2Hg8.

## Properties
Calculated formation energy (eV per atom): -0.121
Size of the total moment (μB per atom): 0.00
Fermi-level density of states (states/eV per atom): 0.381
Uncorrected energy (eV per atom): -1.212
Calculated volume (Å³/atom): 28.57
Distance to the lowest polymorph of the same formula (eV per formula unit): 0.11

Lattice parameters (Å, degrees): 9.8573 14.1391 4.5473 90.00 97.44 90.00
Closest atoms and distances in Å follow each position.
Space group C2/m (No. 12)
Asymmetric unit:
Ac1 0.0000 0.0000 0.0000 x2  12 Hg 3.31-3.59
In1 0.0000 0.3805 0.5000 x4  6 Hg 3.02-3.13
Hg1 0.0000 0.2402 0.0000 x4  2 In 3.02, 4 Hg 3.19-3.25
Hg2 0.1636 0.5000 0.9913 x4  4 In 3.08-3.43, 3 Hg 3.16-3.24, 1 Ac 3.31
Hg3 0.1877 0.1445 0.5432 x8  1 In 3.13, 4 Hg 3.16-3.27

[6]
A plane-wave DFT calculation with PBE was carried out for an optimized crystal structure of PmZrPS.

## Properties
Raw formation energy (meV/atom): -1389
Size of the total moment (μB per atom): 0.00
Fermi-level density of states (states/eV per atom): 0.653
Uncorrected energy (eV per atom): -7.098
Calculated volume (Å³/atom): 23.44

Lattice parameters (Å, degrees): 4.6132 4.6132 30.5233 90.00 90.00 120.00
Closest atoms and distances in Å follow each position.
Space group R-3m (No. 166, hexagonal axes)
Asymmetric unit:
Pm1 0.0000 0.0000 0.1135 x6  4 S 2.70-2.82
Zr1 0.0000 0.0000 0.2979 x6  4 P 2.59-2.70, 1 S 2.81
P1 0.0000 0.0000 0.3828 x6  4 Zr 2.59-2.70
S1 0.0000 0.0000 0.2059 x6  4 Pm 2.70-2.82, 1 Zr 2.81

Which of these has the lowest Fermi-level density of states? Li2TmSn3Te6